Record 1
Nb2InBrN PBE optimized geometry; DFT total energy = -0.3710 Ry/atom; magnetization = 0.0 μB/f.u.; uncorrected formation energy = 1.528 eV per atom; symmetry = P4/mmm, No. 123
1.0
-0.259 -2.840 -4.007
-0.764 -3.181 2.304
-4.820 0.914 -0.336
Nb In N Br
2 1 1 1
Direct
0.000 0.000 0.500 Nb
0.500 0.000 0.000 Nb
0.500 0.500 0.500 In
0.000 0.500 0.000 N
0.000 0.000 0.000 Br

Record 2
InBrN2O PBE optimized geometry; DFT total energy = -0.2643 Ry/atom; magnetization = 0.0 μB/f.u.; uncorrected formation energy = 1.609 eV per atom; symmetry = P4/mmm, No. 123
1.0
-0.040 0.419 4.106
1.853 -3.668 0.393
3.477 1.742 -0.144
Br N In O
1 2 1 1
Direct
0.000 0.000 0.000 Br
0.000 0.500 0.000 N
0.500 0.000 0.000 N
0.500 0.500 0.500 In
0.000 0.000 0.500 O

Record 3
InBrN2O PBE optimized geometry; DFT total energy = -0.2706 Ry/atom; magnetization = 2.5 μB/f.u.; uncorrected formation energy = 1.522 eV per atom; symmetry = P4/mmm, No. 123
1.0
-3.486 2.538 0.518
-2.545 -3.193 -1.479
-0.507 -1.562 4.246
O Br In N
1 1 1 2
Direct
0.000 0.000 0.500 O
0.500 0.500 0.500 Br
0.000 0.000 0.000 In
0.000 0.500 0.000 N
0.500 0.000 0.000 N

Record 4
Rb2InBr6N PBE optimized geometry; DFT total energy = -0.2074 Ry/atom; magnetization = 2.0 μB/f.u.; uncorrected formation energy = -0.518 eV per atom; symmetry = I4/mmm, No. 139
1.0
7.399 0.000 0.000
0.000 7.399 0.000
3.699 3.699 5.975
Br N In Rb
6 1 1 2
Direct
0.737 0.263 0.000 Br
0.263 0.737 0.000 Br
0.775 0.775 0.451 Br
0.263 0.263 0.000 Br
0.225 0.225 0.549 Br
0.737 0.737 0.000 Br
0.500 0.500 0.000 N
0.000 0.000 0.000 In
0.250 0.750 0.500 Rb
0.750 0.250 0.500 Rb

Record 5
InRhBrN2 PBE optimized geometry; DFT total energy = -0.2576 Ry/atom; magnetization = 1.7 μB/f.u.; uncorrected formation energy = 2.179 eV per atom; symmetry = P4/mmm, No. 123
1.0
-2.138 2.849 1.416
-5.496 -2.640 -2.986
-0.702 -2.087 3.138
In N Br Rh
1 2 1 1
Direct
0.000 0.500 0.000 In
0.000 0.000 0.500 N
0.500 0.000 0.000 N
0.000 0.000 0.000 Br
0.500 0.500 0.500 Rh

Record 6
InSBrN2 PBE optimized geometry; DFT total energy = -0.2401 Ry/atom; magnetization = 0.8 μB/f.u.; distance to the lowest polymorph of the same formula = 235 meV per atom; uncorrected formation energy = 1.771 eV per atom; symmetry = P4/mmm, No. 123
1.0
3.879 0.000 0.000
0.000 3.879 0.000
0.000 0.000 6.910
In N S Br
1 2 1 1
Direct
0.500 0.500 0.500 In
0.000 0.500 0.000 N
0.500 0.000 0.000 N
0.000 0.000 0.500 S
0.000 0.000 0.000 Br

Record 7
InSBrN2 PBE optimized geometry; DFT total energy = -0.2574 Ry/atom; magnetization = 4.0 μB/f.u.; distance to the lowest polymorph of the same formula = 0 meV per atom; uncorrected formation energy = 1.536 eV per atom; symmetry = P4/mmm, No. 123
1.0
4.275 0.000 0.000
0.000 4.275 0.000
0.000 0.000 5.634
S N In Br
1 2 1 1
Direct
0.000 0.000 0.500 S
0.500 0.000 0.000 N
0.000 0.500 0.000 N
0.000 0.000 0.000 In
0.500 0.500 0.500 Br

Record 8
InSbBr2N PBE optimized geometry; DFT total energy = -0.2330 Ry/atom; magnetization = 0.0 μB/f.u.; uncorrected formation energy = 0.536 eV per atom; symmetry = P4/mmm, No. 123
1.0
-5.345 3.369 -0.235
-1.028 -1.387 3.501
2.937 4.855 2.787
N Sb Br In
1 1 2 1
Direct
0.000 0.000 0.000 N
0.000 0.500 0.000 Sb
0.500 0.000 0.000 Br
0.000 0.000 0.500 Br
0.500 0.500 0.500 In

Record 9
InSe2BrN PBE optimized geometry; DFT total energy = -0.2488 Ry/atom; magnetization = 0.0 μB/f.u.; distance to the lowest polymorph of the same formula = 0 meV per atom; uncorrected formation energy = 0.556 eV per atom; symmetry = P4/mmm, No. 123
1.0
4.229 0.000 0.000
0.000 4.229 0.000
0.000 0.000 7.188
In N Br Se
1 1 1 2
Direct
0.500 0.500 0.500 In
0.000 0.000 0.000 N
0.000 0.000 0.500 Br
0.000 0.500 0.000 Se
0.500 0.000 0.000 Se

Record 10
InSe2BrN PBE optimized geometry; DFT total energy = -0.2059 Ry/atom; magnetization = 2.7 μB/f.u.; distance to the lowest polymorph of the same formula = 584 meV per atom; uncorrected formation energy = 1.140 eV per atom; symmetry = P4/mmm, No. 123
1.0
5.716 0.000 0.000
0.000 5.716 0.000
0.000 0.000 4.319
Se In Br N
2 1 1 1
Direct
0.000 0.500 0.000 Se
0.500 0.000 0.000 Se
0.000 0.000 0.000 In
0.500 0.500 0.500 Br
0.000 0.000 0.500 N

Record 11
InSeBrN2 PBE optimized geometry; DFT total energy = -0.2239 Ry/atom; magnetization = 2.2 μB/f.u.; distance to the lowest polymorph of the same formula = 434 meV per atom; uncorrected formation energy = 1.863 eV per atom; symmetry = P4/mmm, No. 123
1.0
4.261 0.000 0.000
0.000 4.261 0.000
0.000 0.000 5.313
Se Br N In
1 1 2 1
Direct
0.000 0.000 0.500 Se
0.000 0.000 0.000 Br
0.000 0.500 0.000 N
0.500 0.000 0.000 N
0.500 0.500 0.500 In

Record 12
InSeBr2N PBE optimized geometry; DFT total energy = -0.2183 Ry/atom; magnetization = 0.1 μB/f.u.; distance to the lowest polymorph of the same formula = 228 meV per atom; uncorrected formation energy = 0.608 eV per atom; symmetry = P4/mmm, No. 123
1.0
-4.115 -0.793 -4.108
-3.687 -2.036 4.086
-1.287 3.544 0.605
In Se Br N
1 1 2 1
Direct
0.500 0.500 0.500 In
0.000 0.000 0.500 Se
0.500 0.000 0.000 Br
0.000 0.500 0.000 Br
0.000 0.000 0.000 N

Record 13
InSeBr2N PBE optimized geometry; DFT total energy = -0.2351 Ry/atom; magnetization = 0.4 μB/f.u.; distance to the lowest polymorph of the same formula = 0 meV per atom; uncorrected formation energy = 0.380 eV per atom; symmetry = P4/mmm, No. 123
1.0
-4.719 -0.894 2.654
0.871 -5.411 -0.273
3.098 0.218 5.580
Br Se In N
2 1 1 1
Direct
0.500 0.000 0.000 Br
0.000 0.500 0.000 Br
0.000 0.000 0.500 Se
0.000 0.000 0.000 In
0.500 0.500 0.500 N

Record 14
InSe2BrN PBE optimized geometry; DFT total energy = -0.2024 Ry/atom; magnetization = 4.8 μB/f.u.; distance to the lowest polymorph of the same formula = 631 meV per atom; uncorrected formation energy = 1.187 eV per atom; symmetry = P4/mmm, No. 123
1.0
5.377 0.000 0.000
0.000 5.377 0.000
0.000 0.000 5.621
N In Se Br
1 1 2 1
Direct
0.500 0.500 0.500 N
0.000 0.000 0.000 In
0.000 0.500 0.000 Se
0.500 0.000 0.000 Se
0.000 0.000 0.500 Br

Record 15
InSeBrN2 PBE optimized geometry; DFT total energy = -0.2558 Ry/atom; magnetization = 3.8 μB/f.u.; distance to the lowest polymorph of the same formula = 0 meV per atom; uncorrected formation energy = 1.429 eV per atom; symmetry = P4/mmm, No. 123
1.0
-2.189 -0.680 -3.628
2.746 -3.119 -1.072
-3.412 -3.968 2.802
Br N Se In
1 2 1 1
Direct
0.500 0.500 0.500 Br
0.000 0.500 0.000 N
0.500 0.000 0.000 N
0.000 0.000 0.500 Se
0.000 0.000 0.000 In

Record 16
InSe2BrN PBE optimized geometry; DFT total energy = -0.2033 Ry/atom; magnetization = 1.4 μB/f.u.; distance to the lowest polymorph of the same formula = 620 meV per atom; uncorrected formation energy = 1.176 eV per atom; symmetry = P4/mmm, No. 123
1.0
5.427 0.000 0.000
0.000 5.427 0.000
0.000 0.000 4.010
Se Br In N
2 1 1 1
Direct
0.500 0.000 0.000 Se
0.000 0.500 0.000 Se
0.000 0.000 0.000 Br
0.500 0.500 0.500 In
0.000 0.000 0.500 N

Record 17
SrInBrN2 PBE optimized geometry; DFT total energy = -0.2905 Ry/atom; magnetization = 2.0 μB/f.u.; uncorrected formation energy = 0.596 eV per atom; symmetry = P4/mmm, No. 123
1.0
4.293 0.000 0.000
0.000 6.672 0.000
0.000 0.000 4.293
Br Sr N In
1 1 2 1
Direct
0.500 0.500 0.500 Br
0.000 0.500 0.000 Sr
0.000 0.000 0.500 N
0.500 0.000 0.000 N
0.000 0.000 0.000 In

Record 18
Na6In3Br14 PBE optimized geometry; DFT total energy = -0.2110 Ry/atom; magnetization = 1.0 μB/f.u.; uncorrected formation energy = -1.151 eV per atom; symmetry = P3, No. 143
1.0
7.270 0.000 0.000
0.000 9.643 -5.567
0.000 0.000 11.135
Br Na In
14 6 3
Direct
0.030 0.765 0.806 Br
0.460 0.000 0.000 Br
0.030 0.194 0.959 Br
0.166 0.572 0.100 Br
0.535 0.575 0.773 Br
0.603 0.754 0.194 Br
0.535 0.227 0.802 Br
0.603 0.806 0.560 Br
0.030 0.041 0.235 Br
0.042 0.333 0.667 Br
0.166 0.900 0.472 Br
0.535 0.198 0.425 Br
0.603 0.440 0.246 Br
0.166 0.528 0.428 Br
0.279 0.788 0.039 Na
0.279 0.252 0.212 Na
0.796 0.975 0.427 Na
0.796 0.452 0.025 Na
0.796 0.573 0.548 Na
0.279 0.961 0.748 Na
0.849 0.000 0.000 In
0.373 0.667 0.333 In
0.389 0.333 0.667 In

Record 19
NaIn2Br2 PBE optimized geometry; DFT total energy = -0.1945 Ry/atom; magnetization = 0.0 μB/f.u.; uncorrected formation energy = -0.618 eV per atom; symmetry = P4/mbm, No. 127
1.0
7.660 0.000 0.000
0.000 7.660 0.000
0.000 0.000 5.396
In Na Br
4 2 4
Direct
0.158 0.658 0.500 In
0.842 0.342 0.500 In
0.342 0.158 0.500 In
0.658 0.842 0.500 In
0.000 0.000 0.000 Na
0.500 0.500 0.000 Na
0.825 0.675 0.000 Br
0.175 0.325 0.000 Br
0.325 0.825 0.000 Br
0.675 0.175 0.000 Br

Record 20
NaIn2Br6 PBE optimized geometry; DFT total energy = -0.2024 Ry/atom; magnetization = 0.0 μB/f.u.; uncorrected formation energy = -0.884 eV per atom; symmetry = C2/c, No. 15
1.0
-2.012 -1.913 -8.086
4.228 -8.630 -1.809
-8.180 -5.336 0.499
Na Br In
2 12 4
Direct
0.750 0.909 0.091 Na
0.250 0.091 0.909 Na
0.206 0.041 0.629 Br
0.454 0.365 0.368 Br
0.363 0.011 0.191 Br
0.954 0.368 0.365 Br
0.863 0.191 0.011 Br
0.137 0.809 0.989 Br
0.794 0.959 0.371 Br
0.637 0.989 0.809 Br
0.546 0.635 0.632 Br
0.706 0.629 0.041 Br
0.294 0.371 0.959 Br
0.046 0.632 0.635 Br
0.249 0.192 0.393 In
0.749 0.393 0.192 In
0.751 0.808 0.607 In
0.251 0.607 0.808 In